A plane-wave DFT calculation with PBE was carried out for a geometry-optimized ZnMoIr2 structure.

a = 9.0621 Å, b = 2.7505 Å, c = 4.7829 Å
α = 90.00°, β = 99.65°, γ = 90.00°
Fractional positions:
Zn (0.0000, 0.0000, 0.0000)
Zn (0.5000, 0.5000, 0.0000)
Mo (0.0000, 0.5000, 0.5000)
Mo (0.5000, 0.0000, 0.5000)
Ir (0.2481, 0.0000, 0.7499)
Ir (0.2519, 0.5000, 0.2501)
Ir (0.7481, 0.5000, 0.7499)
Ir (0.7519, 0.0000, 0.2501)

Computed properties:
Symmetry = C2/m
Total energy = -7.55 eV/atom
Spin magnetization = 0.0 μB per cell
E_form = -35 kJ/mol of formula units